# TaCo2P | the Alexandria database | PBE | optimized geometry
data_TaCo2P
_symmetry_space_group_name_H-M 'P 1'
_symmetry_Int_Tables_number 1
_cell_length_a 4.694
_cell_length_b 4.694
_cell_length_c 4.694
_cell_angle_alpha 141.14
_cell_angle_beta 127.70
_cell_angle_gamma 67.04
loop_
_symmetry_equiv_pos_as_xyz
'x,y,z'
loop_
_atom_site_label
_atom_site_type_symbol
_atom_site_fract_x
_atom_site_fract_y
_atom_site_fract_z
_atom_site_occupancy
Co1 Co 0.290 0.790 0.500 1
Co2 Co 0.005 0.005 0.000 1
Ta1 Ta 0.730 0.230 0.500 1
P1 P 0.475 0.475 0.000 1
# Energy relative to the elements (eV per atom): -0.342
# Size of the total moment (μB per formula unit): 0.0
# Crystal system: orthorhombic

# TaCo2P | the Alexandria database | PBE | optimized geometry
data_TaCo2P
_symmetry_space_group_name_H-M 'P 1'
_symmetry_Int_Tables_number 1
_cell_length_a 4.130
_cell_length_b 4.130
_cell_length_c 4.130
_cell_angle_alpha 60.00
_cell_angle_beta 60.00
_cell_angle_gamma 60.00
loop_
_symmetry_equiv_pos_as_xyz
'x,y,z'
loop_
_atom_site_label
_atom_site_type_symbol
_atom_site_fract_x
_atom_site_fract_y
_atom_site_fract_z
_atom_site_occupancy
Ta1 Ta 0.500 0.500 0.500 1
Co1 Co 0.250 0.250 0.250 1
Co2 Co 0.750 0.750 0.750 1
P1 P 0.000 0.000 0.000 1
# Energy relative to the elements (eV per atom): -0.090
# Size of the total moment (μB per formula unit): 0.0
# Crystal system: cubic

# TaCo2P | the Alexandria database | PBE | optimized geometry
data_TaCo2P
_symmetry_space_group_name_H-M 'P 1'
_symmetry_Int_Tables_number 1
_cell_length_a 4.753
_cell_length_b 6.311
_cell_length_c 13.049
_cell_angle_alpha 90.00
_cell_angle_beta 90.00
_cell_angle_gamma 90.00
loop_
_symmetry_equiv_pos_as_xyz
'x,y,z'
loop_
_atom_site_label
_atom_site_type_symbol
_atom_site_fract_x
_atom_site_fract_y
_atom_site_fract_z
_atom_site_occupancy
P1 P 0.019 0.750 0.930 1
P2 P 0.481 0.750 0.430 1
P3 P 0.242 0.250 0.319 1
P4 P 0.258 0.250 0.819 1
P5 P 0.742 0.750 0.181 1
P6 P 0.981 0.250 0.070 1
P7 P 0.758 0.750 0.681 1
P8 P 0.519 0.250 0.570 1
Co1 Co 0.535 0.449 0.714 1
Co2 Co 0.035 0.949 0.786 1
Co3 Co 0.465 0.551 0.286 1
Co4 Co 0.255 0.449 0.965 1
Co5 Co 0.245 0.449 0.465 1
Co6 Co 0.755 0.551 0.535 1
Co7 Co 0.745 0.949 0.035 1
Co8 Co 0.255 0.051 0.965 1
Co9 Co 0.245 0.051 0.465 1
Co10 Co 0.965 0.051 0.214 1
Co11 Co 0.755 0.949 0.535 1
Co12 Co 0.535 0.051 0.714 1
Co13 Co 0.035 0.551 0.786 1
Co14 Co 0.465 0.949 0.286 1
Co15 Co 0.745 0.551 0.035 1
Co16 Co 0.965 0.449 0.214 1
Ta1 Ta 0.476 0.250 0.139 1
Ta2 Ta 0.024 0.250 0.639 1
Ta3 Ta 0.258 0.750 0.109 1
Ta4 Ta 0.758 0.250 0.391 1
Ta5 Ta 0.976 0.750 0.361 1
Ta6 Ta 0.242 0.750 0.609 1
Ta7 Ta 0.524 0.750 0.861 1
Ta8 Ta 0.742 0.250 0.891 1
# Energy relative to the elements (eV per atom): -0.647
# Size of the total moment (μB per formula unit): 0.0
# Crystal system: orthorhombic

# TaCo2P | the Alexandria database | PBE | optimized geometry
data_TaCo2P
_symmetry_space_group_name_H-M 'P 1'
_symmetry_Int_Tables_number 1
_cell_length_a 4.141
_cell_length_b 4.141
_cell_length_c 4.141
_cell_angle_alpha 60.00
_cell_angle_beta 60.00
_cell_angle_gamma 60.00
loop_
_symmetry_equiv_pos_as_xyz
'x,y,z'
loop_
_atom_site_label
_atom_site_type_symbol
_atom_site_fract_x
_atom_site_fract_y
_atom_site_fract_z
_atom_site_occupancy
Co1 Co 0.000 0.000 0.000 1
Co2 Co 0.250 0.250 0.250 1
P1 P 0.500 0.500 0.500 1
Ta1 Ta 0.750 0.750 0.750 1
# Energy relative to the elements (eV per atom): -0.094
# Size of the total moment (μB per formula unit): 0.9
# Crystal system: cubic

# Ta2CoP2 | the Alexandria database | PBE | optimized geometry
data_Ta2CoP2
_symmetry_space_group_name_H-M 'P 1'
_symmetry_Int_Tables_number 1
_cell_length_a 6.417
_cell_length_b 6.417
_cell_length_c 3.431
_cell_angle_alpha 90.00
_cell_angle_beta 90.00
_cell_angle_gamma 90.00
loop_
_symmetry_equiv_pos_as_xyz
'x,y,z'
loop_
_atom_site_label
_atom_site_type_symbol
_atom_site_fract_x
_atom_site_fract_y
_atom_site_fract_z
_atom_site_occupancy
Ta1 Ta 0.658 0.842 0.500 1
Ta2 Ta 0.342 0.158 0.500 1
Ta3 Ta 0.158 0.658 0.500 1
Ta4 Ta 0.842 0.342 0.500 1
P1 P 0.353 0.853 0.000 1
P2 P 0.147 0.353 0.000 1
P3 P 0.647 0.147 0.000 1
P4 P 0.853 0.647 0.000 1
Co1 Co 0.500 0.500 0.000 1
Co2 Co 0.000 0.000 0.000 1
# Energy relative to the elements (eV per atom): -0.463
# Size of the total moment (μB per formula unit): 0.4
# Crystal system: tetragonal

# TaCo2P | the Alexandria database | PBE | optimized geometry
data_TaCo2P
_symmetry_space_group_name_H-M 'P 1'
_symmetry_Int_Tables_number 1
_cell_length_a 3.745
_cell_length_b 3.745
_cell_length_c 8.240
_cell_angle_alpha 76.87
_cell_angle_beta 76.87
_cell_angle_gamma 90.00
loop_
_symmetry_equiv_pos_as_xyz
'x,y,z'
loop_
_atom_site_label
_atom_site_type_symbol
_atom_site_fract_x
_atom_site_fract_y
_atom_site_fract_z
_atom_site_occupancy
P1 P 0.500 0.500 0.000 1
P2 P 0.250 0.750 0.500 1
Co1 Co 0.375 0.418 0.750 1
Co2 Co 0.582 0.125 0.250 1
Co3 Co 0.875 0.832 0.750 1
Co4 Co 0.168 0.625 0.250 1
Ta1 Ta 0.000 0.000 0.000 1
Ta2 Ta 0.750 0.250 0.500 1
# Energy relative to the elements (eV per atom): -0.060
# Size of the total moment (μB per formula unit): 0.2
# Crystal system: tetragonal

# Ta2Co3P | the Alexandria database | PBE | optimized geometry
data_Ta2Co3P
_symmetry_space_group_name_H-M 'P 1'
_symmetry_Int_Tables_number 1
_cell_length_a 4.822
_cell_length_b 4.822
_cell_length_c 7.470
_cell_angle_alpha 90.00
_cell_angle_beta 90.00
_cell_angle_gamma 120.00
loop_
_symmetry_equiv_pos_as_xyz
'x,y,z'
loop_
_atom_site_label
_atom_site_type_symbol
_atom_site_fract_x
_atom_site_fract_y
_atom_site_fract_z
_atom_site_occupancy
Co1 Co 0.168 0.335 0.250 1
Co2 Co 0.665 0.832 0.250 1
Co3 Co 0.832 0.168 0.750 1
Co4 Co 0.832 0.665 0.750 1
Co5 Co 0.168 0.832 0.250 1
Co6 Co 0.335 0.168 0.750 1
Ta1 Ta 0.333 0.667 0.559 1
Ta2 Ta 0.667 0.333 0.059 1
Ta3 Ta 0.667 0.333 0.441 1
Ta4 Ta 0.333 0.667 0.941 1
P1 P 0.000 0.000 0.000 1
P2 P 0.000 0.000 0.500 1
# Energy relative to the elements (eV per atom): -0.504
# Size of the total moment (μB per formula unit): 0.0
# Crystal system: hexagonal

# TaCo2P | the Alexandria database | PBE | optimized geometry
data_TaCo2P
_symmetry_space_group_name_H-M 'P 1'
_symmetry_Int_Tables_number 1
_cell_length_a 4.774
_cell_length_b 4.774
_cell_length_c 4.774
_cell_angle_alpha 143.55
_cell_angle_beta 128.24
_cell_angle_gamma 64.95
loop_
_symmetry_equiv_pos_as_xyz
'x,y,z'
loop_
_atom_site_label
_atom_site_type_symbol
_atom_site_fract_x
_atom_site_fract_y
_atom_site_fract_z
_atom_site_occupancy
Co1 Co 0.033 0.033 0.000 1
Co2 Co 0.467 0.467 0.000 1
P1 P 0.250 0.750 0.500 1
Ta1 Ta 0.750 0.250 0.500 1
# Energy relative to the elements (eV per atom): -0.312
# Size of the total moment (μB per formula unit): 0.0
# Crystal system: orthorhombic

# TaCo2P | the Alexandria database | PBE | optimized geometry
data_TaCo2P
_symmetry_space_group_name_H-M 'P 1'
_symmetry_Int_Tables_number 1
_cell_length_a 4.547
_cell_length_b 4.547
_cell_length_c 4.547
_cell_angle_alpha 132.76
_cell_angle_beta 132.76
_cell_angle_gamma 69.02
loop_
_symmetry_equiv_pos_as_xyz
'x,y,z'
loop_
_atom_site_label
_atom_site_type_symbol
_atom_site_fract_x
_atom_site_fract_y
_atom_site_fract_z
_atom_site_occupancy
Co1 Co 0.500 0.500 0.000 1
Co2 Co 0.000 0.000 0.000 1
P1 P 0.250 0.750 0.500 1
Ta1 Ta 0.750 0.250 0.500 1
# Energy relative to the elements (eV per atom): -0.265
# Size of the total moment (μB per formula unit): 0.0
# Crystal system: tetragonal

# TaCoP | the Alexandria database | PBE | optimized geometry
data_TaCoP
_symmetry_space_group_name_H-M 'P 1'
_symmetry_Int_Tables_number 1
_cell_length_a 5.537
_cell_length_b 4.762
_cell_length_c 4.762
_cell_angle_alpha 139.77
_cell_angle_beta 149.39
_cell_angle_gamma 48.92
loop_
_symmetry_equiv_pos_as_xyz
'x,y,z'
loop_
_atom_site_label
_atom_site_type_symbol
_atom_site_fract_x
_atom_site_fract_y
_atom_site_fract_z
_atom_site_occupancy
P1 P 0.500 0.379 0.121 1
Ta1 Ta 0.500 0.666 0.834 1
Co1 Co 0.000 0.955 0.045 1
# Energy relative to the elements (eV per atom): -0.414
# Size of the total moment (μB per formula unit): 0.0
# Crystal system: orthorhombic